[1]
# PrBeAl PBE-GGA relaxed
# ΔH_f (0 K), eV per atom: -0.156
# D(E_F), states/eV/f.u.: 2.29
data_PrBeAl
_space_group_name_H-M_alt 'P 1'
_space_group_IT_number 1
_cell_length_a 3.851
_cell_length_b 4.386
_cell_length_c 4.386
_cell_angle_alpha 120.00
_cell_angle_beta 90.00
_cell_angle_gamma 90.00
loop_
_space_group_symop_operation_xyz
'x,y,z'
loop_
_atom_site_label
_atom_site_type_symbol
_atom_site_fract_x
_atom_site_fract_y
_atom_site_fract_z
_atom_site_occupancy
Al1 Al 0.167 0.000 0.000 1
Be1 Be 0.167 0.667 0.333 1
Pr1 Pr 0.667 0.333 0.667 1


[2]
# RbTm2AgBr8 PBE-GGA relaxed
# Formation energy without anion corrections, eV/atom: -1.541
# D(E_F), states/eV/f.u.: 0.00
data_RbTm2AgBr8
_space_group_name_H-M_alt 'P 1'
_space_group_IT_number 1
_cell_length_a 7.281
_cell_length_b 7.170
_cell_length_c 8.522
_cell_angle_alpha 90.01
_cell_angle_beta 89.91
_cell_angle_gamma 81.27
loop_
_space_group_symop_operation_xyz
'x,y,z'
loop_
_atom_site_label
_atom_site_type_symbol
_atom_site_fract_x
_atom_site_fract_y
_atom_site_fract_z
_atom_site_occupancy
Br1 Br 0.380 0.279 0.000 1
Br2 Br 0.839 0.279 0.781 1
Br3 Br 0.161 0.723 0.782 1
Br4 Br 0.161 0.721 0.219 1
Br5 Br 0.620 0.721 0.000 1
Br6 Br 0.614 0.709 0.500 1
Br7 Br 0.839 0.277 0.218 1
Br8 Br 0.386 0.291 0.500 1
Tm1 Tm 0.500 0.500 0.759 1
Tm2 Tm 0.500 0.500 0.241 1
Ag1 Ag 0.000 0.000 0.000 1
Rb1 Rb 0.000 0.000 0.500 1


[3]
# GdPuSbPd PBE-GGA relaxed
# Formation energy without anion corrections, eV/atom: -0.645
# D(E_F), states/eV/f.u.: 12.30
data_GdPuSbPd
_space_group_name_H-M_alt 'P 1'
_space_group_IT_number 1
_cell_length_a 5.196
_cell_length_b 5.196
_cell_length_c 5.196
_cell_angle_alpha 60.00
_cell_angle_beta 60.00
_cell_angle_gamma 60.00
loop_
_space_group_symop_operation_xyz
'x,y,z'
loop_
_atom_site_label
_atom_site_type_symbol
_atom_site_fract_x
_atom_site_fract_y
_atom_site_fract_z
_atom_site_occupancy
Pd1 Pd 0.000 0.000 0.000 1
Pu1 Pu 0.250 0.250 0.250 1
Sb1 Sb 0.500 0.500 0.500 1
Gd1 Gd 0.750 0.750 0.750 1


[4]
# Mg2Si3 PBE-GGA relaxed
# Formation energy without anion corrections, eV/atom: 0.100
# D(E_F), states/eV/f.u.: 0.79
data_Mg2Si3
_space_group_name_H-M_alt 'P 1'
_space_group_IT_number 1
_cell_length_a 4.858
_cell_length_b 5.817
_cell_length_c 15.672
_cell_angle_alpha 109.48
_cell_angle_beta 107.90
_cell_angle_gamma 86.22
loop_
_space_group_symop_operation_xyz
'x,y,z'
loop_
_atom_site_label
_atom_site_type_symbol
_atom_site_fract_x
_atom_site_fract_y
_atom_site_fract_z
_atom_site_occupancy
Si1 Si 0.602 0.543 0.877 1
Si2 Si 0.730 0.918 0.171 1
Si3 Si 0.843 0.914 0.420 1
Si4 Si 0.897 0.557 0.623 1
Si5 Si 0.130 0.178 0.572 1
Si6 Si 0.425 0.566 0.130 1
Si7 Si 0.770 0.183 0.329 1
Si8 Si 0.657 0.187 0.080 1
Si9 Si 0.370 0.922 0.927 1
Si10 Si 0.408 0.144 0.828 1
Si11 Si 0.092 0.955 0.672 1
Si12 Si 0.075 0.534 0.370 1
Mg1 Mg 0.512 0.813 0.522 1
Mg2 Mg 0.253 0.819 0.285 1
Mg3 Mg 0.820 0.815 0.794 1
Mg4 Mg 0.988 0.288 0.978 1
Mg5 Mg 0.247 0.280 0.215 1
Mg6 Mg 0.450 0.287 0.470 1
Mg7 Mg 0.680 0.284 0.706 1
Mg8 Mg 0.050 0.814 0.030 1


[5]
# Ce3GdH PBE-GGA relaxed
# D(E_F), states/eV/f.u.: 12.97
# VASP energy, eV per formula unit: -35.6
data_Ce3GdH
_space_group_name_H-M_alt 'P 1'
_space_group_IT_number 1
_cell_length_a 4.944
_cell_length_b 4.944
_cell_length_c 4.944
_cell_angle_alpha 90.00
_cell_angle_beta 90.00
_cell_angle_gamma 90.00
loop_
_space_group_symop_operation_xyz
'x,y,z'
loop_
_atom_site_label
_atom_site_type_symbol
_atom_site_fract_x
_atom_site_fract_y
_atom_site_fract_z
_atom_site_occupancy
Ce1 Ce 0.000 0.500 0.000 1
Ce2 Ce 0.000 0.000 0.500 1
Ce3 Ce 0.500 0.000 0.000 1
Gd1 Gd 0.500 0.500 0.500 1
H1 H 0.000 0.000 0.000 1


[6]
# YLuPd2 PBE-GGA relaxed
# ΔH_f (0 K), eV per atom: -0.920
# D(E_F), states/eV/f.u.: 2.52
data_YLuPd2
_space_group_name_H-M_alt 'P 1'
_space_group_IT_number 1
_cell_length_a 4.925
_cell_length_b 4.925
_cell_length_c 4.925
_cell_angle_alpha 60.00
_cell_angle_beta 60.00
_cell_angle_gamma 60.00
loop_
_space_group_symop_operation_xyz
'x,y,z'
loop_
_atom_site_label
_atom_site_type_symbol
_atom_site_fract_x
_atom_site_fract_y
_atom_site_fract_z
_atom_site_occupancy
Lu1 Lu 0.500 0.500 0.500 1
Pd1 Pd 0.750 0.750 0.750 1
Pd2 Pd 0.250 0.250 0.250 1
Y1 Y 0.000 0.000 0.000 1


[7]
# GeBrN2 PBE-GGA relaxed
# Formation energy without anion corrections, eV/atom: 1.124
# D(E_F), states/eV/f.u.: 4.76
data_GeBrN2
_space_group_name_H-M_alt 'P 1'
_space_group_IT_number 1
_cell_length_a 5.341
_cell_length_b 5.341
_cell_length_c 5.669
_cell_angle_alpha 61.89
_cell_angle_beta 61.89
_cell_angle_gamma 90.00
loop_
_space_group_symop_operation_xyz
'x,y,z'
loop_
_atom_site_label
_atom_site_type_symbol
_atom_site_fract_x
_atom_site_fract_y
_atom_site_fract_z
_atom_site_occupancy
Br1 Br 0.000 0.000 0.000 1
Br2 Br 0.750 0.250 0.500 1
N1 N 0.875 0.773 0.750 1
N2 N 0.227 0.625 0.250 1
N3 N 0.523 0.125 0.250 1
N4 N 0.375 0.477 0.750 1
Ge1 Ge 0.250 0.750 0.500 1
Ge2 Ge 0.500 0.500 0.000 1


[8]
# InFeTeI2 PBE-GGA relaxed
# Formation energy without anion corrections, eV/atom: 0.055
# D(E_F), states/eV/f.u.: 5.11
data_InFeTeI2
_space_group_name_H-M_alt 'P 1'
_space_group_IT_number 1
_cell_length_a 5.685
_cell_length_b 5.685
_cell_length_c 5.155
_cell_angle_alpha 90.00
_cell_angle_beta 90.00
_cell_angle_gamma 90.00
loop_
_space_group_symop_operation_xyz
'x,y,z'
loop_
_atom_site_label
_atom_site_type_symbol
_atom_site_fract_x
_atom_site_fract_y
_atom_site_fract_z
_atom_site_occupancy
In1 In 0.500 0.500 0.500 1
I1 I 0.500 0.000 0.000 1
I2 I 0.000 0.500 0.000 1
Te1 Te 0.000 0.000 0.500 1
Fe1 Fe 0.000 0.000 0.000 1


[9]
# Zr2TaAu PBE-GGA relaxed
# ΔH_f (0 K), eV per atom: -0.100
# D(E_F), states/eV/f.u.: 3.70
data_Zr2TaAu
_space_group_name_H-M_alt 'P 1'
_space_group_IT_number 1
_cell_length_a 5.353
_cell_length_b 5.353
_cell_length_c 5.353
_cell_angle_alpha 133.14
_cell_angle_beta 133.14
_cell_angle_gamma 68.44
loop_
_space_group_symop_operation_xyz
'x,y,z'
loop_
_atom_site_label
_atom_site_type_symbol
_atom_site_fract_x
_atom_site_fract_y
_atom_site_fract_z
_atom_site_occupancy
Ta1 Ta 0.750 0.250 0.500 1
Au1 Au 0.250 0.750 0.500 1
Zr1 Zr 0.000 0.000 0.000 1
Zr2 Zr 0.500 0.500 0.000 1


[10]
# LaPr2SmTm2 PBE-GGA relaxed
# ΔH_f (0 K), eV per atom: 0.067
# D(E_F), states/eV/f.u.: 9.75
data_LaPr2SmTm2
_space_group_name_H-M_alt 'P 1'
_space_group_IT_number 1
_cell_length_a 5.746
_cell_length_b 9.974
_cell_length_c 7.103
_cell_angle_alpha 90.00
_cell_angle_beta 90.00
_cell_angle_gamma 90.00
loop_
_space_group_symop_operation_xyz
'x,y,z'
loop_
_atom_site_label
_atom_site_type_symbol
_atom_site_fract_x
_atom_site_fract_y
_atom_site_fract_z
_atom_site_occupancy
Sm1 Sm 0.000 0.000 0.500 1
Sm2 Sm 0.500 0.500 0.000 1
Tm1 Tm 0.000 0.333 0.749 1
Tm2 Tm 0.500 0.833 0.751 1
Tm3 Tm 0.000 0.667 0.251 1
Tm4 Tm 0.500 0.167 0.249 1
Pr1 Pr 0.000 0.666 0.753 1
Pr2 Pr 0.500 0.834 0.253 1
Pr3 Pr 0.500 0.166 0.747 1
Pr4 Pr 0.000 0.334 0.247 1
La1 La 0.000 0.000 0.000 1
La2 La 0.500 0.500 0.500 1


[11]
# Nb2InC2 PBE-GGA relaxed
# ΔH_f (0 K), eV per atom: 0.865
# D(E_F), states/eV/f.u.: 4.04
data_Nb2InC2
_space_group_name_H-M_alt 'P 1'
_space_group_IT_number 1
_cell_length_a 6.871
_cell_length_b 6.871
_cell_length_c 2.997
_cell_angle_alpha 90.00
_cell_angle_beta 90.00
_cell_angle_gamma 90.00
loop_
_space_group_symop_operation_xyz
'x,y,z'
loop_
_atom_site_label
_atom_site_type_symbol
_atom_site_fract_x
_atom_site_fract_y
_atom_site_fract_z
_atom_site_occupancy
Nb1 Nb 0.364 0.864 0.000 1
Nb2 Nb 0.636 0.136 0.000 1
Nb3 Nb 0.136 0.364 0.000 1
Nb4 Nb 0.864 0.636 0.000 1
C1 C 0.631 0.869 0.500 1
C2 C 0.869 0.369 0.500 1
C3 C 0.131 0.631 0.500 1
C4 C 0.369 0.131 0.500 1
In1 In 0.500 0.500 0.000 1
In2 In 0.000 0.000 0.000 1


[12]
# Tl2SiRu PBE-GGA relaxed
# Formation energy without anion corrections, eV/atom: 0.163
# D(E_F), states/eV/f.u.: 1.38
data_Tl2SiRu
_space_group_name_H-M_alt 'P 1'
_space_group_IT_number 1
_cell_length_a 9.389
_cell_length_b 9.389
_cell_length_c 9.389
_cell_angle_alpha 20.25
_cell_angle_beta 20.25
_cell_angle_gamma 20.25
loop_
_space_group_symop_operation_xyz
'x,y,z'
loop_
_atom_site_label
_atom_site_type_symbol
_atom_site_fract_x
_atom_site_fract_y
_atom_site_fract_z
_atom_site_occupancy
Tl1 Tl 0.234 0.234 0.234 1
Tl2 Tl 0.011 0.011 0.011 1
Si1 Si 0.769 0.769 0.769 1
Ru1 Ru 0.486 0.486 0.486 1